# 1
InPb2Au: optimized geometry, GGA-PBE.

Cell lengths 3.4802, 3.4802, 8.9078 Å; angles 90.00, 90.00, 90.02 degrees
Last column: nearest neighbours and their distance in Å.
Fractional positions:
Pb (0.0000, 0.0000, 0.4649)  4 Au 3.12, 4 Pb 3.48
Pb (0.0000, 0.0000, 0.0351)  4 Au 3.12, 4 Pb 3.48
Au (0.5000, 0.5000, 0.2500)  8 Pb 3.12, 4 Au 3.48
In (0.5000, 0.5000, 0.7500)  4 In 3.48, 8 Pb 3.54

Calculated values
Calculated formation energy in meV/atom: -20
SG: P4/mmm, No. 123
Fermi-level density of states in states/eV/atom: 0.54
Total moment in μB/atom: 0.000



# 2
NaTb2Pb9: optimized geometry, GGA-PBE.

Cell lengths 4.8483, 4.8483, 14.9159 Å; angles 90.00, 90.00, 90.00 degrees
Last column: nearest neighbours and their distance in Å.
Fractional positions:
Pb (0.0000, 0.5000, 0.5000)  8 Pb 3.43-3.49, 4 Tb 3.43
Pb (0.5000, 0.0000, 0.5000)  8 Pb 3.43-3.49, 4 Tb 3.43
Pb (0.5000, 0.5000, 0.0000)  4 Na 3.43, 8 Pb 3.47
Pb (0.5000, 0.0000, 0.8336)  8 Pb 3.43-3.47, 2 Na 3.47, 2 Tb 3.52
Pb (0.0000, 0.5000, 0.8336)  8 Pb 3.43-3.47, 2 Na 3.47, 2 Tb 3.52
Pb (0.5000, 0.5000, 0.3315)  4 Tb 3.43, 8 Pb 3.46-3.49
Pb (0.0000, 0.5000, 0.1664)  8 Pb 3.43-3.47, 2 Na 3.47, 2 Tb 3.52
Pb (0.5000, 0.5000, 0.6685)  4 Tb 3.43, 8 Pb 3.46-3.49
Pb (0.5000, 0.0000, 0.1664)  8 Pb 3.43-3.47, 2 Na 3.47, 2 Tb 3.52
Tb (0.0000, 0.0000, 0.6625)  12 Pb 3.43-3.52
Tb (0.0000, 0.0000, 0.3375)  12 Pb 3.43-3.52
Na (0.0000, 0.0000, 0.0000)  12 Pb 3.43-3.47

Calculated values
Calculated formation energy in meV/atom: -243
SG: P4/mmm, No. 123
Fermi-level density of states in states/eV/atom: 0.31
Total moment in μB/atom: 0.000



# 3
CsCdInI6: optimized geometry, GGA-PBE.

Cell lengths 7.7217, 7.7219, 8.7916 Å; angles 90.00, 90.00, 60.00 degrees
Last column: nearest neighbours and their distance in Å.
Fractional positions:
Cd (0.6667, 0.6666, 0.5000)  6 I 3.03
Cs (0.0000, 0.0000, 0.0000)  6 I 3.90
In (0.3333, 0.3334, 0.5000)  6 I 2.97
I (0.6285, 0.0060, 0.3036)  1 In 2.97, 1 Cd 3.03
I (0.0059, 0.6285, 0.6964)  1 In 2.97, 1 Cd 3.03
I (0.0059, 0.3655, 0.3036)  1 In 2.97, 1 Cd 3.03
I (0.3655, 0.0060, 0.6964)  1 In 2.97, 1 Cd 3.03
I (0.3655, 0.6285, 0.3036)  1 In 2.97, 1 Cd 3.03
I (0.6285, 0.3655, 0.6964)  1 In 2.97, 1 Cd 3.03

Calculated values
SG: P312, No. 149
Fermi-level density of states in states/eV/atom: 0.00
Formation energy (no corrections) in kJ/mol of formula units: -643
Total moment in μB/atom: 0.000



# 4
MgNp2P3Ir4: optimized geometry, GGA-PBE.

Cell lengths 3.9369, 3.9369, 10.9078 Å; angles 90.00, 90.00, 90.00 degrees
Last column: nearest neighbours and their distance in Å.
Fractional positions:
Ir (0.0000, 0.5000, 0.3386)  1 P 2.31
Ir (0.0000, 0.0000, 0.0000)  4 P 2.41
Ir (0.5000, 0.5000, 0.0000)  4 P 2.41
Ir (0.5000, 0.0000, 0.6614)  1 P 2.31
P (0.5000, 0.0000, 0.8727)  5 Ir 2.31-2.41
P (0.0000, 0.5000, 0.1273)  5 Ir 2.31-2.41
P (0.0000, 0.0000, 0.5000)  4 Ir 2.64, 4 Mg 2.78
Mg (0.5000, 0.5000, 0.5000)  4 Ir 2.64, 4 P 2.78
Np (0.5000, 0.0000, 0.2401)  8 Ir 2.98-3.28, 4 P 3.04
Np (0.0000, 0.5000, 0.7599)  8 Ir 2.98-3.28, 4 P 3.04

Calculated values
Calculated formation energy in meV/atom: -612
SG: P-4m2, No. 115
Fermi-level density of states in states/eV/atom: 1.60
Total moment in μB/atom: 0.696



# 5
Be2Fe2Au: optimized geometry, GGA-PBE.

Cell lengths 6.0869, 6.0869, 3.0260 Å; angles 90.00, 90.00, 90.00 degrees
Last column: nearest neighbours and their distance in Å.
Fractional positions:
Au (0.0000, 0.0000, 0.0000)  4 Be 2.41
Au (0.5000, 0.5000, 0.0000)  4 Be 2.41
Be (0.1235, 0.3765, 0.0000)  1 Be 2.13, 6 Fe 2.32-2.38
Be (0.3765, 0.8765, 0.0000)  1 Be 2.13, 6 Fe 2.32-2.38
Be (0.6235, 0.1235, 0.0000)  1 Be 2.13, 6 Fe 2.32-2.38
Be (0.8765, 0.6235, 0.0000)  1 Be 2.13, 6 Fe 2.32-2.38
Fe (0.1628, 0.6628, 0.5000)  6 Be 2.32-2.38
Fe (0.3372, 0.1628, 0.5000)  6 Be 2.32-2.38
Fe (0.6628, 0.8372, 0.5000)  6 Be 2.32-2.38
Fe (0.8372, 0.3372, 0.5000)  6 Be 2.32-2.38

Calculated values
Calculated formation energy in meV/atom: -20
SG: P4/mbm, No. 127
Fermi-level density of states in states/eV/atom: 0.69
Total moment in μB/atom: 0.810



# 6
Y2InSnN: optimized geometry, GGA-PBE.

Cell lengths 5.8867, 3.9956, 5.8867 Å; angles 90.00, 90.00, 90.00 degrees
Last column: nearest neighbours and their distance in Å.
Fractional positions:
Y (0.5000, 0.0000, 0.0000)  2 In 2.94
Y (0.0000, 0.0000, 0.5000)  2 In 2.94
Sn (0.5000, 0.5000, 0.5000)  8 Y 3.56
In (0.0000, 0.0000, 0.0000)  2 N 2.00
N (0.0000, 0.5000, 0.0000)  2 In 2.00

Calculated values
SG: P4/mmm, No. 123
Fermi-level density of states in states/eV/atom: 0.82
Formation energy (no corrections) in kJ/mol of formula units: 261
Total moment in μB/atom: 0.140



# 7
V3CrSi2: optimized geometry, GGA-PBE.

Cell lengths 3.2163, 7.9163, 7.3501 Å; angles 122.58, 102.66, 90.00 degrees
Last column: nearest neighbours and their distance in Å.
Fractional positions:
Cr (0.0000, 0.5000, 0.0000)  4 Si 2.47, 4 V 2.55
Cr (0.0000, 0.0000, 0.0000)  4 Si 2.47, 4 V 2.55
Si (0.3431, 0.3433, 0.6866)  2 Cr 2.47, 6 V 2.56-2.73, 2 Si 2.75
Si (0.6570, 0.1567, 0.3134)  2 Cr 2.47, 6 V 2.56-2.73, 2 Si 2.75
Si (0.6569, 0.6567, 0.3134)  2 Cr 2.47, 6 V 2.56-2.73, 2 Si 2.75
Si (0.3430, 0.8433, 0.6866)  2 Cr 2.47, 6 V 2.56-2.73, 2 Si 2.75
V (0.5000, 0.7500, 0.0000)  4 Cr 2.55, 4 V 2.60, 4 Si 2.73
V (0.8289, 0.0792, 0.6584)  4 V 2.48-2.60, 4 Si 2.56
V (0.5000, 0.2500, 0.0000)  4 Cr 2.55, 4 V 2.60, 4 Si 2.73
V (0.1711, 0.4208, 0.3416)  4 V 2.48-2.60, 4 Si 2.56
V (0.1711, 0.9208, 0.3416)  4 V 2.48-2.60, 4 Si 2.56
V (0.8289, 0.5792, 0.6584)  4 V 2.48-2.60, 4 Si 2.56

Calculated values
SG: Cmmm, No. 65
Fermi-level density of states in states/eV/atom: 0.85
Formation energy (no corrections) in kJ/mol of formula units: -201
Total moment in μB/atom: 0.000



# 8
GdPuHgAu: optimized geometry, GGA-PBE.

Cell lengths 5.2351, 5.2351, 5.2351 Å; angles 60.00, 60.00, 60.00 degrees
Last column: nearest neighbours and their distance in Å.
Fractional positions:
Gd (0.2500, 0.2500, 0.2500)  4 Hg 3.21, 4 Au 3.21
Hg (0.5000, 0.5000, 0.5000)  4 Gd 3.21, 4 Pu 3.21
Au (0.0000, 0.0000, 0.0000)  4 Pu 3.21, 4 Gd 3.21
Pu (0.7500, 0.7500, 0.7500)  4 Hg 3.21, 4 Au 3.21

Calculated values
Calculated formation energy in meV/atom: -424
SG: F-43m, No. 216
Fermi-level density of states in states/eV/atom: 2.80
Total moment in μB/atom: 3.252



# 9
Cr5Mo4: optimized geometry, GGA-PBE.

Cell lengths 7.6711, 7.6711, 4.8924 Å; angles 90.00, 90.00, 60.00 degrees
Last column: nearest neighbours and their distance in Å.
Fractional positions:
Cr (0.3333, 0.3333, 0.0000)  2 Cr 2.45, 6 Mo 2.73
Cr (0.3333, 0.3333, 0.5000)  2 Cr 2.45, 6 Mo 2.73
Cr (0.3079, 0.6921, 0.2500)  7 Mo 2.49-2.66
Cr (0.6667, 0.6667, 0.5000)  2 Cr 2.45, 6 Mo 2.73
Cr (0.6921, 0.0000, 0.2500)  7 Mo 2.49-2.66
Cr (0.3079, 0.0000, 0.7500)  7 Mo 2.49-2.66
Cr (0.0000, 0.6921, 0.7500)  7 Mo 2.49-2.66
Cr (0.6667, 0.6667, 0.0000)  2 Cr 2.45, 6 Mo 2.73
Cr (0.6921, 0.3079, 0.7500)  7 Mo 2.49-2.66
Cr (0.0000, 0.3079, 0.2500)  7 Mo 2.49-2.66
Mo (0.0000, 0.0000, 0.0000)  2 Mo 2.45, 6 Cr 2.66
Mo (0.6334, 0.0000, 0.7500)  9 Cr 2.49-2.73
Mo (0.0000, 0.0000, 0.5000)  2 Mo 2.45, 6 Cr 2.66
Mo (0.3666, 0.0000, 0.2500)  9 Cr 2.49-2.73
Mo (0.0000, 0.3666, 0.7500)  9 Cr 2.49-2.73
Mo (0.3666, 0.6334, 0.7500)  9 Cr 2.49-2.73
Mo (0.6334, 0.3666, 0.2500)  9 Cr 2.49-2.73
Mo (0.0000, 0.6334, 0.2500)  9 Cr 2.49-2.73

Calculated values
E above lowest polymorph in meV/atom: 299
Calculated formation energy in meV/atom: 376
SG: P6_3/mcm, No. 193
Fermi-level density of states in states/eV/atom: 1.31
Total moment in μB/atom: 0.000



# 10
Mn2OsRuRh: optimized geometry, GGA-PBE.

Cell lengths 4.5574, 4.6501, 4.5574 Å; angles 90.00, 90.00, 90.00 degrees
Last column: nearest neighbours and their distance in Å.
Fractional positions:
Mn (0.0000, 0.0000, 0.5000)  2 Os 2.28
Mn (0.5000, 0.0000, 0.0000)  2 Os 2.28
Rh (0.0000, 0.5000, 0.0000)  2 Os 2.33
Os (0.0000, 0.0000, 0.0000)  4 Mn 2.28, 2 Rh 2.33
Ru (0.5000, 0.5000, 0.5000)  4 Rh 3.22, 8 Mn 3.26

Calculated values
Calculated formation energy in meV/atom: 1618
SG: P4/mmm, No. 123
Fermi-level density of states in states/eV/atom: 1.41
Total moment in μB/atom: 1.661



# 11
Na3AgO: optimized geometry, GGA-PBE.

Cell lengths 5.3530, 5.3530, 5.3530 Å; angles 90.00, 90.00, 90.00 degrees
Last column: nearest neighbours and their distance in Å.
Fractional positions:
Ag (0.0000, 0.0000, 0.0000)  6 Na 2.68
Na (0.0000, 0.5000, 0.0000)  2 Ag 2.68
Na (0.0000, 0.0000, 0.5000)  2 Ag 2.68
Na (0.5000, 0.0000, 0.0000)  2 Ag 2.68
O (0.5000, 0.5000, 0.5000)  12 Na 3.79

Calculated values
E above lowest polymorph in meV/atom: 951
SG: Pm-3m, No. 221
Fermi-level density of states in states/eV/atom: 0.20
Formation energy (no corrections) in kJ/mol of formula units: 136
Total moment in μB/atom: 0.000



# 12
AlBS: optimized geometry, GGA-PBE.

Cell lengths 10.5744, 3.3043, 5.7227 Å; angles 90.00, 103.24, 90.00 degrees
Last column: nearest neighbours and their distance in Å.
Fractional positions:
B (0.9681, 0.0000, 0.4605)  3 B 1.91, 1 Al 2.13
B (0.9742, 0.5000, 0.6298)  3 B 1.91
B (0.9681, 0.5000, 0.9605)  3 B 1.91, 1 Al 2.13
B (0.9742, 0.0000, 0.1298)  3 B 1.91
S (0.2489, 0.5000, 0.7463)  3 Al 2.29
S (0.2489, 0.0000, 0.2463)  3 Al 2.29
S (0.6449, 0.0000, 0.9906)  3 Al 2.25
S (0.6449, 0.5000, 0.4906)  3 Al 2.25
Al (0.1260, 0.0000, 0.8609)  3 S 2.29, 6 B 2.47-2.51
Al (0.7608, 0.0000, 0.3729)  1 B 2.13, 3 S 2.25
Al (0.7608, 0.5000, 0.8729)  1 B 2.13, 3 S 2.25
Al (0.1260, 0.5000, 0.3609)  3 S 2.29, 6 B 2.47-2.51

Calculated values
E above lowest polymorph in meV/atom: 16
SG: Cm, No. 8
Fermi-level density of states in states/eV/atom: 0.01
Formation energy (no corrections) in kJ/mol of formula units: -105
Total moment in μB/atom: 0.000



# 13
SrCaAc: optimized geometry, GGA-PBE.

Cell lengths 5.6816, 7.9268, 10.8417 Å; angles 99.85, 74.61, 44.86 degrees
Last column: nearest neighbours and their distance in Å.
Fractional positions:
Ac (0.1171, 0.0702, 0.9271)  4 Ac 3.96-4.01, 4 Ca 3.98-4.03, 4 Sr 4.03-4.07
Ac (0.1179, 0.5697, 0.9268)  4 Ac 3.96-4.01, 4 Ca 3.98-4.03, 4 Sr 4.03-4.07
Sr (0.1077, 0.2422, 0.5984)  6 Ca 3.96-4.23, 4 Ac 4.03-4.07, 2 Sr 4.11-4.16
Sr (0.1275, 0.3976, 0.2555)  6 Ca 3.96-4.23, 4 Ac 4.03-4.07, 2 Sr 4.11-4.16
Ca (0.0964, 0.7495, 0.6054)  6 Sr 3.96-4.23, 4 Ac 3.98-4.03, 2 Ca 4.20-4.25
Ca (0.1388, 0.8903, 0.2484)  6 Sr 3.96-4.23, 4 Ac 3.98-4.03, 2 Ca 4.20-4.25

Calculated values
E above lowest polymorph in meV/atom: 9
Calculated formation energy in meV/atom: 40
SG: P-1, No. 2
Fermi-level density of states in states/eV/atom: 1.73
Total moment in μB/atom: 0.001



# 14
CuSn2Pd6: optimized geometry, GGA-PBE.

Cell lengths 4.2377, 8.2750, 8.2747 Å; angles 90.00, 90.00, 90.00 degrees
Last column: nearest neighbours and their distance in Å.
Fractional positions:
Pd (0.0000, 0.6310, 0.8688)  2 Cu 2.62, 4 Sn 2.77-2.92, 2 Pd 2.87
Pd (0.5001, 0.4754, 0.6734)  1 Cu 2.71, 3 Sn 2.72-2.77, 8 Pd 2.87-2.96
Pd (0.5000, 0.1310, 0.6312)  2 Cu 2.62, 4 Sn 2.77-2.92, 2 Pd 2.87
Pd (0.9999, 0.6734, 0.5245)  1 Cu 2.71, 3 Sn 2.72-2.77, 8 Pd 2.87-2.96
Pd (0.0001, 0.3266, 0.4755)  1 Cu 2.71, 3 Sn 2.72-2.77, 8 Pd 2.87-2.96
Pd (0.4999, 0.8266, 0.0245)  1 Cu 2.71, 3 Sn 2.72-2.77, 8 Pd 2.87-2.96
Pd (0.4999, 0.5246, 0.3266)  1 Cu 2.71, 3 Sn 2.72-2.77, 8 Pd 2.87-2.96
Pd (0.0000, 0.3690, 0.1312)  2 Cu 2.62, 4 Sn 2.77-2.92, 2 Pd 2.87
Pd (0.5001, 0.1734, 0.9755)  1 Cu 2.71, 3 Sn 2.72-2.77, 8 Pd 2.87-2.96
Pd (0.0001, 0.0246, 0.1734)  1 Cu 2.71, 3 Sn 2.72-2.77, 8 Pd 2.87-2.96
Pd (0.9999, 0.9754, 0.8266)  1 Cu 2.71, 3 Sn 2.72-2.77, 8 Pd 2.87-2.96
Pd (0.5000, 0.8690, 0.3688)  2 Cu 2.62, 4 Sn 2.77-2.92, 2 Pd 2.87
Cu (0.0000, 0.0000, 0.5000)  8 Pd 2.62-2.71
Cu (0.5000, 0.5000, 0.0000)  8 Pd 2.62-2.71
Sn (0.9999, 0.6970, 0.1970)  10 Pd 2.72-2.92
Sn (0.0001, 0.3030, 0.8030)  10 Pd 2.72-2.92
Sn (0.5001, 0.1970, 0.3030)  10 Pd 2.72-2.92
Sn (0.4999, 0.8030, 0.6970)  10 Pd 2.72-2.92

Calculated values
Calculated formation energy in meV/atom: -445
SG: P4_2/mnm, No. 136
Fermi-level density of states in states/eV/atom: 0.30
Total moment in μB/atom: 0.000